[1]
The following is a PBE calculation of an optimized crystal structure of MgReOs2, from Alexandria via LeMat-Bulk.

Values from the calculation:
As for the formation energy: 246.3 meV/atom. For the size of the total moment, the calculation gives 0.00 μB per cell.

a = 3.851 Å, b = 2.774 Å, c = 6.262 Å
α = 63.78°, β = 90.00°, γ = 90.00°
Sites, in units of the cell vectors:
1 Mg 0.500 0.750 0.750
2 Os 0.000 0.991 0.009
3 Os 0.000 0.509 0.491
4 Re 0.500 0.250 0.250

***

[2]
The following is a PBE calculation of an optimized crystal structure of CsTeF2, from Alexandria via LeMat-Bulk.

Values from the calculation:
The raw formation energy is -1.1844 eV per atom. The energy above the most stable polymorph in this dataset comes out at 2.54 eV/f.u. For the size of the total moment, the calculation gives 3.00 μB per cell.

a = 5.161 Å, b = 5.161 Å, c = 5.161 Å
α = 60.00°, β = 60.00°, γ = 60.00°
Sites, in units of the cell vectors:
1 Cs 0.500 0.500 0.500
2 Te 0.000 0.000 0.000
3 F 0.250 0.250 0.250
4 F 0.750 0.750 0.750

***

Please write out number 2 again, unchanged.
The following is a PBE calculation of an optimized crystal structure of CsTeF2, from Alexandria via LeMat-Bulk.

Values from the calculation:
The raw formation energy is -1.1844 eV per atom. The energy above the most stable polymorph in this dataset comes out at 2.54 eV/f.u. For the size of the total moment, the calculation gives 3.00 μB per cell.

a = 5.161 Å, b = 5.161 Å, c = 5.161 Å
α = 60.00°, β = 60.00°, γ = 60.00°
Sites, in units of the cell vectors:
1 Cs 0.500 0.500 0.500
2 Te 0.000 0.000 0.000
3 F 0.250 0.250 0.250
4 F 0.750 0.750 0.750

***

The lowest size of the total moment belongs to which entry?
MgReOs2

***

Repeat the second record exactly.
The following is a PBE calculation of an optimized crystal structure of CsTeF2, from Alexandria via LeMat-Bulk.

Values from the calculation:
The raw formation energy is -1.1844 eV per atom. The energy above the most stable polymorph in this dataset comes out at 2.54 eV/f.u. For the size of the total moment, the calculation gives 3.00 μB per cell.

a = 5.161 Å, b = 5.161 Å, c = 5.161 Å
α = 60.00°, β = 60.00°, γ = 60.00°
Sites, in units of the cell vectors:
1 Cs 0.500 0.500 0.500
2 Te 0.000 0.000 0.000
3 F 0.250 0.250 0.250
4 F 0.750 0.750 0.750

***

The lowest size of the total moment belongs to which entry?
MgReOs2